Computed, not measured: an optimized crystal structure of As2RuWF at the PBE+U level of DFT.

abc: 4.8465 3.9548 4.8465
angles: 90.00 90.00 90.00
Closest atoms and distances in Å follow each position.
Fractional positions:
Ru 0.0000 0.0000 0.0000  2 F 1.98
As 0.0000 0.0000 0.5000  2 Ru 2.42
As 0.5000 0.0000 0.0000  2 Ru 2.42
W 0.5000 0.5000 0.5000  8 As 3.13, 4 F 3.43
F 0.0000 0.5000 0.0000  2 Ru 1.98

Values from the calculation:
Volume (Å³ per atom): 18.6
Electronic total energy (Ry per atom): -0.361